Entry 1:
The following is a PBE-GGA calculation of a relaxed Pu2ThC2 crystal, from OQMD.

It has space group R-3m (No. 166, hexagonal axes), with a = 3.4868 Å, b = 3.4868 Å, c = 22.4400 Å, α = 90.00°, β = 90.00° and γ = 120.00°. The inequivalent atoms are Pu at (0.0000, 0.0000, 0.1972), Th at (0.0000, 0.0000, 0.0000) and C at (0.0000, 0.0000, 0.4076).

***

Entry 2:
The following is a PBE-GGA calculation of a relaxed PuUC crystal, from OQMD.

It has space group P3m1 (No. 156), with a = 3.4221 Å, b = 3.4221 Å, c = 4.4342 Å, α = 90.00°, β = 90.00° and γ = 120.00°. The inequivalent atoms are Pu at (0.0000, 0.0000, 0.0000), U at (0.3333, 0.6667, 0.3413) and C at (0.6667, 0.3333, 0.6835).

***

Entry 3:
The following is a PBE-GGA calculation of a relaxed Pu2W2C3 crystal, from OQMD.

It has space group C2/m (No. 12), with a = 11.536 Å, b = 3.269 Å, c = 5.714 Å, α = 90.00°, β = 106.08° and γ = 90.00°. The inequivalent atoms are Pu at (0.111, 0.000, 0.331), W at (0.152, 0.500, 0.878), C at (0.000, 0.500, 0.000) and C at (0.236, 0.000, 0.752).

***

Entry 4:
The following is a PBE-GGA calculation of a relaxed Re2C crystal, from OQMD.

The calculation puts the energy relative to the lowest polymorph listed for this composition at 0.0 kJ per mole of atoms.

It has space group Fm-3m (No. 225), with a = 5.304 Å, b = 5.304 Å, c = 5.304 Å, α = 90.00°, β = 90.00° and γ = 90.00°. The inequivalent atoms are Re at (0.250, 0.250, 0.250) and C at (0.000, 0.000, 0.000).

***

Number 1: calculated total energy -11.04 eV per atom, total moment 0.01 μB per atom. Number 2: calculated total energy -11.77 eV per atom, total moment 0.01 μB per atom. Number 3: calculated total energy -11.81 eV per atom, total moment 1.36 μB per atom. Number 4: calculated total energy -10.16 eV per atom, total moment 0.00 μB per atom.